No. 1
# La2ReP2 (PBE, optimized geometry)
data_La2ReP2
_cell_length_a 6.5012
_cell_length_b 6.5012
_cell_length_c 4.7657
_cell_angle_alpha 90.00
_cell_angle_beta 90.00
_cell_angle_gamma 90.00
_space_group_name_H-M_alt 'P 4/m b m'
_space_group_IT_number 127
_space_group_name_Hall '-P 4 2ab'
loop_
_atom_site_label
_atom_site_fract_x
_atom_site_fract_y
_atom_site_fract_z
La1 0.1799 0.3201 0.0000
Re1 0.0000 0.0000 0.5000
P1 0.1338 0.6338 0.5000
# * VASP energy: -37.02 eV per formula unit
# * crystal system: tetragonal
# * energy of formation from the pure elements: -779 meV/atom

No. 2
# LaRe3P (PBE, optimized geometry)
data_LaRe3P
_cell_length_a 4.5511
_cell_length_b 4.5511
_cell_length_c 4.5511
_cell_angle_alpha 90.00
_cell_angle_beta 90.00
_cell_angle_gamma 90.00
_space_group_name_H-M_alt 'P m -3 m'
_space_group_IT_number 221
_space_group_name_Hall '-P 4 2 3'
loop_
_atom_site_label
_atom_site_fract_x
_atom_site_fract_y
_atom_site_fract_z
La1 0.0000 0.0000 0.0000
Re1 0.0000 0.5000 0.5000
P1 0.5000 0.5000 0.5000
# * VASP energy: -45.18 eV per formula unit
# * crystal system: cubic
# * energy of formation from the pure elements: 500 meV/atom

No. 3
# La2ReP (PBE, optimized geometry)
data_La2ReP
_cell_length_a 3.2414
_cell_length_b 3.2414
_cell_length_c 9.0015
_cell_angle_alpha 90.00
_cell_angle_beta 90.00
_cell_angle_gamma 90.00
_space_group_name_H-M_alt 'P 4 m m'
_space_group_IT_number 99
_space_group_name_Hall 'P 4 -2'
loop_
_atom_site_label
_atom_site_fract_x
_atom_site_fract_y
_atom_site_fract_z
La1 0.0000 0.0000 0.0000
La2 0.5000 0.5000 0.3989
Re1 0.5000 0.5000 0.7513
P1 0.0000 0.0000 0.6405
# * VASP energy: -28.51 eV per formula unit
# * crystal system: tetragonal
# * energy of formation from the pure elements: -198 meV/atom

No. 4
# LaRe2P2 (PBE, optimized geometry)
data_LaRe2P2
_cell_length_a 7.5710
_cell_length_b 7.5710
_cell_length_c 3.0047
_cell_angle_alpha 90.00
_cell_angle_beta 90.00
_cell_angle_gamma 90.00
_space_group_name_H-M_alt 'P 4/m b m'
_space_group_IT_number 127
_space_group_name_Hall '-P 4 2ab'
loop_
_atom_site_label
_atom_site_fract_x
_atom_site_fract_y
_atom_site_fract_z
La1 0.0000 0.0000 0.0000
Re1 0.1260 0.3740 0.5000
P1 0.1359 0.6359 0.0000
# * VASP energy: -40.63 eV per formula unit
# * crystal system: tetragonal
# * energy of formation from the pure elements: 2 meV/atom

No. 5
# LaRe2P2 (PBE, optimized geometry)
data_LaRe2P2
_cell_length_a 4.1730
_cell_length_b 4.1730
_cell_length_c 10.3619
_cell_angle_alpha 90.00
_cell_angle_beta 90.00
_cell_angle_gamma 90.00
_space_group_name_H-M_alt 'I 4/m m m'
_space_group_IT_number 139
_space_group_name_Hall '-I 4 2'
loop_
_atom_site_label
_atom_site_fract_x
_atom_site_fract_y
_atom_site_fract_z
La1 0.0000 0.0000 0.0000
Re1 0.0000 0.5000 0.2500
P1 0.0000 0.0000 0.3596
# * VASP energy: -43.90 eV per formula unit
# * crystal system: tetragonal
# * energy of formation from the pure elements: -651 meV/atom

No. 6
# La2ReP (PBE, optimized geometry)
data_La2ReP
_cell_length_a 3.7603
_cell_length_b 3.7603
_cell_length_c 6.6425
_cell_angle_alpha 90.00
_cell_angle_beta 90.00
_cell_angle_gamma 90.00
_space_group_name_H-M_alt 'P 4/m m m'
_space_group_IT_number 123
_space_group_name_Hall '-P 4 2'
loop_
_atom_site_label
_atom_site_fract_x
_atom_site_fract_y
_atom_site_fract_z
La1 0.0000 0.0000 0.2417
Re1 0.5000 0.5000 0.5000
P1 0.5000 0.5000 0.0000
# * VASP energy: -28.45 eV per formula unit
# * crystal system: tetragonal
# * energy of formation from the pure elements: -185 meV/atom

No. 7
# La2ReP (PBE, optimized geometry)
data_La2ReP
_cell_length_a 6.9898
_cell_length_b 6.9898
_cell_length_c 6.9898
_cell_angle_alpha 90.00
_cell_angle_beta 90.00
_cell_angle_gamma 90.00
_space_group_name_H-M_alt 'F -4 3 m'
_space_group_IT_number 216
_space_group_name_Hall 'F -4 2 3'
loop_
_atom_site_label
_atom_site_fract_x
_atom_site_fract_y
_atom_site_fract_z
La1 0.0000 0.0000 0.0000
La2 0.2500 0.2500 0.2500
Re1 0.2500 0.2500 0.7500
P1 0.0000 0.0000 0.5000
# * VASP energy: -27.09 eV per formula unit
# * crystal system: cubic
# * energy of formation from the pure elements: 157 meV/atom

No. 8
# La2ReP (PBE, optimized geometry)
data_La2ReP
_cell_length_a 7.8573
_cell_length_b 7.8573
_cell_length_c 6.3779
_cell_angle_alpha 90.00
_cell_angle_beta 90.00
_cell_angle_gamma 90.00
_space_group_name_H-M_alt 'I -4 2 d'
_space_group_IT_number 122
_space_group_name_Hall 'I -4 2bw'
loop_
_atom_site_label
_atom_site_fract_x
_atom_site_fract_y
_atom_site_fract_z
La1 0.2297 0.7500 0.1250
Re1 0.0000 0.0000 0.0000
P1 0.0000 0.0000 0.5000
# * VASP energy: -27.12 eV per formula unit
# * crystal system: tetragonal
# * energy of formation from the pure elements: 147 meV/atom

No. 9
# LaReP2Ru (PBE, optimized geometry)
data_LaReP2Ru
_cell_length_a 4.1424
_cell_length_b 4.1424
_cell_length_c 10.4631
_cell_angle_alpha 90.00
_cell_angle_beta 90.00
_cell_angle_gamma 90.00
_space_group_name_H-M_alt 'I -4 m 2'
_space_group_IT_number 119
_space_group_name_Hall 'I -4 -2'
loop_
_atom_site_label
_atom_site_fract_x
_atom_site_fract_y
_atom_site_fract_z
La1 0.0000 0.0000 0.0000
Re1 0.0000 0.5000 0.2500
P1 0.0000 0.0000 0.3571
Ru1 0.0000 0.5000 0.7500
# * VASP energy: -41.79 eV per formula unit
# * crystal system: tetragonal
# * energy of formation from the pure elements: -864 meV/atom

No. 10
# LaReP2S (PBE, optimized geometry)
data_LaReP2S
_cell_length_a 5.5484
_cell_length_b 5.5484
_cell_length_c 5.3232
_cell_angle_alpha 90.00
_cell_angle_beta 90.00
_cell_angle_gamma 90.00
_space_group_name_H-M_alt 'P 4/m m m'
_space_group_IT_number 123
_space_group_name_Hall '-P 4 2'
loop_
_atom_site_label
_atom_site_fract_x
_atom_site_fract_y
_atom_site_fract_z
La1 0.0000 0.0000 0.0000
Re1 0.5000 0.5000 0.5000
P1 0.0000 0.5000 0.0000
S1 0.0000 0.0000 0.5000
# * VASP energy: -24.48 eV per formula unit
# * crystal system: tetragonal
# * formation energy without anion corrections: 1.57 eV per atom

No. 11
# LaReP2S (PBE, optimized geometry)
data_LaReP2S
_cell_length_a 4.5178
_cell_length_b 4.5178
_cell_length_c 5.2532
_cell_angle_alpha 90.00
_cell_angle_beta 90.00
_cell_angle_gamma 90.00
_space_group_name_H-M_alt 'P 4/m m m'
_space_group_IT_number 123
_space_group_name_Hall '-P 4 2'
loop_
_atom_site_label
_atom_site_fract_x
_atom_site_fract_y
_atom_site_fract_z
La1 0.0000 0.0000 0.0000
Re1 0.5000 0.5000 0.5000
P1 0.0000 0.5000 0.5000
S1 0.5000 0.5000 0.0000
# * VASP energy: -34.72 eV per formula unit
# * crystal system: tetragonal
# * formation energy without anion corrections: -0.48 eV per atom

No. 12
# LaScRe2P (PBE, optimized geometry)
data_LaScRe2P
_cell_length_a 4.5667
_cell_length_b 4.5667
_cell_length_c 4.8581
_cell_angle_alpha 90.00
_cell_angle_beta 90.00
_cell_angle_gamma 90.00
_space_group_name_H-M_alt 'P 4/m m m'
_space_group_IT_number 123
_space_group_name_Hall '-P 4 2'
loop_
_atom_site_label
_atom_site_fract_x
_atom_site_fract_y
_atom_site_fract_z
La1 0.0000 0.0000 0.0000
Sc1 0.5000 0.5000 0.0000
Re1 0.0000 0.5000 0.5000
P1 0.5000 0.5000 0.5000
# * VASP energy: -40.85 eV per formula unit
# * crystal system: tetragonal
# * energy of formation from the pure elements: 143 meV/atom